# 1
## ScAg3Ru (PBE)

Data for a relaxed structure of ScAg3Ru.

Output
Total magnetic moment in Bohr magnetons per cell: 0.0
Raw total energy in eV per cell: -19.016

The structure in POSCAR format:
```
ScAg3Ru
1.0
4.9558 0.0000 0.0000
0.0000 4.9558 0.0000
0.0000 0.0000 4.9558
Ag Sc Ru
3 1 1
Direct
0.0000 0.5000 0.0000
0.0000 0.0000 0.5000
0.5000 0.0000 0.0000
0.5000 0.5000 0.5000
0.0000 0.0000 0.0000
```



# 2
## CeIF (PBE)

Data for a relaxed structure of CeIF.

Output
Energy relative to the elements, uncorrected in meV per atom: -2252
Total magnetic moment in Bohr magnetons per cell: 1.3

The structure in POSCAR format:
```
CeIF
1.0
-1.6853 -0.7773 4.4653
-2.8091 -2.7637 -1.5413
3.8293 -1.3298 1.2137
Ce I F
1 1 1
Direct
0.1670 0.6667 0.3333
0.6666 0.3333 0.6667
0.1664 0.0000 0.0000
```